(1)
{
  "formula": "Cs3V2Cl9",
  "functional": "PBE",
  "state": "optimized geometry",
  "lattice": [[-1.507, 6.324, -3.617], [-5.271, -3.294, 4.088], [5.375, 9.730, 14.772]],
  "species": ["Cl", "Cl", "Cl", "Cl", "Cl", "Cl", "Cl", "Cl", "Cl", "Cl", "Cl", "Cl", "Cl", "Cl", "Cl", "Cl", "Cl", "Cl", "V", "V", "V", "V", "Cs", "Cs", "Cs", "Cs", "Cs", "Cs"],
  "frac_coords": [[0.182, 0.818, 0.903], [0.818, 0.637, 0.403], [0.037, 0.518, 0.750], [0.482, 0.518, 0.750], [0.818, 0.182, 0.097], [0.482, 0.963, 0.750], [0.363, 0.182, 0.403], [0.182, 0.818, 0.597], [0.518, 0.037, 0.250], [0.518, 0.482, 0.250], [0.182, 0.363, 0.903], [0.182, 0.363, 0.597], [0.363, 0.182, 0.097], [0.637, 0.818, 0.903], [0.818, 0.637, 0.097], [0.637, 0.818, 0.597], [0.818, 0.182, 0.403], [0.963, 0.482, 0.250], [0.333, 0.667, 0.666], [0.667, 0.333, 0.166], [0.333, 0.667, 0.834], [0.667, 0.333, 0.334], [0.000, 0.000, 0.750], [0.333, 0.667, 0.071], [0.667, 0.333, 0.571], [0.333, 0.667, 0.429], [0.667, 0.333, 0.929], [0.000, 0.000, 0.250]],
  "e_form_raw_ev_per_atom": -1.63,
  "de_polymorph_kj_per_mol_fu": 0,
  "total_energy_ev_per_cell": -120.6
}

---

(2)
{
  "formula": "PaNbAs3",
  "functional": "PBE",
  "state": "optimized geometry",
  "lattice": [[5.772, 0.000, 0.000], [0.000, 5.903, 0.000], [0.000, 0.000, 12.118]],
  "species": ["As", "As", "As", "As", "As", "As", "As", "As", "As", "As", "As", "As", "Pa", "Pa", "Pa", "Pa", "Nb", "Nb", "Nb", "Nb"],
  "frac_coords": [[0.250, 0.524, 0.757], [0.250, 0.124, 0.908], [0.250, 0.024, 0.243], [0.500, 0.250, 0.498], [0.750, 0.476, 0.243], [0.750, 0.976, 0.757], [0.750, 0.376, 0.908], [0.250, 0.624, 0.092], [0.000, 0.250, 0.498], [0.500, 0.750, 0.502], [0.000, 0.750, 0.502], [0.750, 0.876, 0.092], [0.750, 0.993, 0.319], [0.250, 0.007, 0.681], [0.750, 0.493, 0.681], [0.250, 0.507, 0.319], [0.500, 0.750, 0.921], [0.000, 0.250, 0.079], [0.500, 0.250, 0.079], [0.000, 0.750, 0.921]],
  "e_form_ev_per_atom": -0.684,
  "total_energy_ev_per_cell": -147.7
}

---

(3)
{
  "formula": "ZrTeP2S",
  "functional": "PBE",
  "state": "optimized geometry",
  "lattice": [[-4.927, -1.270, -0.961], [1.376, -1.827, -4.645], [0.738, -4.314, 1.915]],
  "species": ["Zr", "P", "P", "Te", "S"],
  "frac_coords": [[0.000, 0.000, 0.000], [0.500, 0.000, 0.000], [0.000, 0.500, 0.000], [0.500, 0.500, 0.500], [0.000, 0.000, 0.500]],
  "e_form_raw_ev_per_atom": 0.24,
  "de_polymorph_kj_per_mol_fu": 0,
  "total_energy_ev_per_cell": -25.5
}

---

(4)
{
  "formula": "TcOsIN2",
  "functional": "PBE",
  "state": "optimized geometry",
  "lattice": [[3.840, 0.000, 0.000], [0.000, 3.840, 0.000], [0.000, 0.000, 6.120]],
  "species": ["Os", "Tc", "I", "N", "N"],
  "frac_coords": [[0.000, 0.000, 0.000], [0.500, 0.500, 0.500], [0.000, 0.000, 0.500], [0.000, 0.500, 0.000], [0.500, 0.000, 0.000]],
  "e_form_raw_ev_per_atom": 1.36,
  "de_polymorph_kj_per_mol_fu": 0,
  "total_energy_ev_per_cell": -33.0
}

---

(5)
{
  "formula": "SnSe2BrCl",
  "functional": "PBE",
  "state": "optimized geometry",
  "lattice": [[5.446, 0.000, 0.000], [0.000, 5.446, 0.000], [0.000, 0.000, 5.410]],
  "species": ["Br", "Cl", "Sn", "Se", "Se"],
  "frac_coords": [[0.000, 0.000, 0.500], [0.500, 0.500, 0.500], [0.000, 0.000, 0.000], [0.500, 0.000, 0.000], [0.000, 0.500, 0.000]],
  "e_form_raw_ev_per_atom": 0.30,
  "de_polymorph_kj_per_mol_fu": 0,
  "total_energy_ev_per_cell": -13.0
}

---

(6)
{
  "formula": "La3Mg2Sc2",
  "functional": "PBE",
  "state": "optimized geometry",
  "lattice": [[-3.550, -3.150, -2.184], [1.532, 0.411, -3.084], [5.047, -10.766, 1.072]],
  "species": ["Mg", "Mg", "La", "La", "La", "Sc", "Sc"],
  "frac_coords": [[0.574, 0.500, 0.853], [0.426, 0.500, 0.147], [0.846, 0.000, 0.307], [0.000, 0.000, 0.000], [0.154, 0.000, 0.693], [0.716, 0.500, 0.568], [0.284, 0.500, 0.432]],
  "e_form_ev_per_atom": 0.026,
  "total_energy_ev_per_cell": -30.4
}

---

(7)
{
  "formula": "La2Pd4Pb",
  "functional": "PBE",
  "state": "optimized geometry",
  "lattice": [[5.099, 0.000, 0.000], [0.000, 5.099, 0.000], [-2.549, -2.549, 7.378]],
  "species": ["Pb", "Pd", "Pd", "Pd", "Pd", "La", "La"],
  "frac_coords": [[0.000, 0.000, 0.000], [0.500, 0.000, 0.000], [0.811, 0.811, 0.623], [0.189, 0.189, 0.377], [0.000, 0.500, 0.000], [0.364, 0.364, 0.729], [0.636, 0.636, 0.271]],
  "e_form_ev_per_atom": -0.245,
  "total_energy_ev_per_cell": -36.1
}

---

(8)
{
  "formula": "BaSr2LaS",
  "functional": "PBE",
  "state": "optimized geometry",
  "lattice": [[-0.282, -2.454, -5.307], [-2.784, -5.165, 2.536], [-5.262, 2.423, -0.841]],
  "species": ["Sr", "Sr", "S", "Ba", "La"],
  "frac_coords": [[0.500, 0.000, 0.000], [0.000, 0.000, 0.500], [0.000, 0.000, 0.000], [0.000, 0.500, 0.000], [0.500, 0.500, 0.500]],
  "e_form_raw_ev_per_atom": -0.56,
  "total_energy_ev_per_cell": -17.1
}

---

(9)
{
  "formula": "Na3Np2SnSe6",
  "functional": "PBE",
  "state": "optimized geometry",
  "lattice": [[4.207, 0.000, 0.000], [0.000, 8.545, 0.358], [-2.104, -2.420, 8.871]],
  "species": ["Se", "Se", "Se", "Se", "Se", "Se", "Sn", "Na", "Na", "Na", "Np", "Np"],
  "frac_coords": [[0.668, 0.106, 0.336], [0.990, 0.746, 0.981], [0.332, 0.894, 0.664], [0.672, 0.571, 0.345], [0.010, 0.254, 0.019], [0.328, 0.429, 0.655], [0.500, 0.000, 0.000], [0.500, 0.500, 0.000], [0.839, 0.164, 0.678], [0.161, 0.836, 0.322], [0.834, 0.666, 0.667], [0.166, 0.334, 0.333]],
  "e_form_raw_ev_per_atom": -1.07,
  "total_energy_ev_per_cell": -67.6
}

---

(10)
{
  "formula": "TaCo2Ag",
  "functional": "PBE",
  "state": "optimized geometry",
  "lattice": [[8.265, -0.022, -0.013], [7.751, 2.869, -0.013], [7.751, 1.378, 2.517]],
  "species": ["Co", "Co", "Ta", "Ag"],
  "frac_coords": [[0.507, 0.507, 0.507], [0.993, 0.993, 0.993], [0.250, 0.250, 0.250], [0.750, 0.750, 0.750]],
  "e_form_ev_per_atom": 0.286,
  "de_polymorph_kj_per_mol_fu": 98,
  "total_energy_ev_per_cell": -27.8
}

---

(11)
{
  "formula": "Er2HfIr3",
  "functional": "PBE",
  "state": "optimized geometry",
  "lattice": [[-4.191, -1.953, 1.015], [1.799, -0.390, -4.361], [2.689, -4.963, 1.553]],
  "species": ["Er", "Er", "Hf", "Ir", "Ir", "Ir"],
  "frac_coords": [[0.333, 0.667, 0.663], [0.667, 0.333, 0.337], [0.000, 0.000, 0.000], [0.000, 0.000, 0.500], [0.333, 0.667, 0.146], [0.667, 0.333, 0.854]],
  "e_form_ev_per_atom": -0.886,
  "total_energy_ev_per_cell": -51.0
}

---

(12)
{
  "formula": "Ca2La2MgTi3O12",
  "functional": "PBE",
  "state": "optimized geometry",
  "lattice": [[5.494, 0.000, 0.000], [0.000, 5.587, 0.002], [0.000, 0.005, 15.655]],
  "species": ["O", "O", "O", "O", "O", "O", "O", "O", "O", "O", "O", "O", "O", "O", "O", "O", "O", "O", "O", "O", "O", "O", "O", "O", "La", "La", "La", "La", "Ti", "Ti", "Ti", "Ti", "Ti", "Ti", "Mg", "Mg", "Ca", "Ca", "Ca", "Ca"],
  "frac_coords": [[0.200, 0.200, 0.481], [0.714, 0.292, 0.223], [0.713, 0.287, 0.020], [0.426, 0.983, 0.635], [0.287, 0.713, 0.980], [0.700, 0.300, 0.519], [0.300, 0.700, 0.481], [0.080, 0.481, 0.122], [0.286, 0.708, 0.777], [0.787, 0.787, 0.020], [0.213, 0.219, 0.266], [0.580, 0.019, 0.878], [0.287, 0.719, 0.266], [0.213, 0.213, 0.980], [0.800, 0.800, 0.519], [0.926, 0.517, 0.365], [0.713, 0.281, 0.734], [0.420, 0.981, 0.122], [0.214, 0.208, 0.777], [0.787, 0.781, 0.734], [0.920, 0.519, 0.878], [0.074, 0.483, 0.635], [0.574, 0.017, 0.365], [0.786, 0.792, 0.223], [0.512, 0.540, 0.619], [0.488, 0.460, 0.381], [0.012, 0.960, 0.381], [0.988, 0.040, 0.619], [0.000, 0.500, 0.000], [0.500, 0.000, 0.000], [0.006, 0.514, 0.755], [0.506, 0.986, 0.245], [0.994, 0.486, 0.245], [0.494, 0.014, 0.755], [0.000, 0.500, 0.500], [0.500, 0.000, 0.500], [0.506, 0.539, 0.120], [0.494, 0.461, 0.880], [0.006, 0.961, 0.880], [0.994, 0.039, 0.120]],
  "e_form_raw_ev_per_atom": -3.18,
  "de_polymorph_kj_per_mol_fu": 19,
  "total_energy_ev_per_cell": -324.6
}

---

(13)
{
  "formula": "Gd2HgSe",
  "functional": "PBE",
  "state": "optimized geometry",
  "lattice": [[3.545, 0.000, 0.000], [0.000, 3.545, 0.000], [0.000, 0.000, 7.889]],
  "species": ["Gd", "Gd", "Hg", "Se"],
  "frac_coords": [[0.000, 0.000, 0.234], [0.000, 0.000, 0.766], [0.500, 0.500, 0.500], [0.500, 0.500, 0.000]],
  "e_form_raw_ev_per_atom": -0.98,
  "de_polymorph_kj_per_mol_fu": 48,
  "total_energy_ev_per_cell": -35.9
}

---

(14)
{
  "formula": "LiAcHgIr",
  "functional": "PBE",
  "state": "optimized geometry",
  "lattice": [[-3.923, -1.122, -2.918], [0.511, -3.328, -3.719], [-2.179, -4.505, 0.349]],
  "species": ["Ac", "Li", "Ir", "Hg"],
  "frac_coords": [[0.750, 0.750, 0.750], [0.000, 0.000, 0.000], [0.500, 0.500, 0.500], [0.250, 0.250, 0.250]],
  "e_form_ev_per_atom": -0.229,
  "total_energy_ev_per_cell": -16.1
}

---

(15)
{
  "formula": "Ba4SrHf5O15",
  "functional": "PBE",
  "state": "optimized geometry",
  "lattice": [[-4.625, -3.821, -11.042], [1.245, -4.183, -11.784], [-1.672, -8.559, -9.048]],
  "species": ["O", "O", "O", "O", "O", "O", "O", "O", "O", "O", "O", "O", "O", "O", "O", "Ba", "Ba", "Ba", "Ba", "Hf", "Hf", "Hf", "Hf", "Hf", "Sr"],
  "frac_coords": [[0.000, 0.500, 0.000], [0.897, 0.400, 0.400], [0.600, 0.600, 0.103], [0.700, 0.200, 0.200], [0.200, 0.200, 0.700], [0.300, 0.800, 0.800], [0.500, 0.000, 0.000], [0.400, 0.400, 0.897], [0.800, 0.800, 0.300], [0.000, 0.000, 0.500], [0.400, 0.897, 0.400], [0.600, 0.103, 0.600], [0.800, 0.300, 0.800], [0.200, 0.700, 0.200], [0.103, 0.600, 0.600], [0.900, 0.900, 0.900], [0.100, 0.100, 0.100], [0.700, 0.700, 0.700], [0.300, 0.300, 0.300], [0.000, 0.000, 0.000], [0.401, 0.401, 0.401], [0.599, 0.599, 0.599], [0.200, 0.200, 0.200], [0.800, 0.800, 0.800], [0.500, 0.500, 0.500]],
  "e_form_raw_ev_per_atom": -3.37,
  "total_energy_ev_per_cell": -217.6
}

---

(16)
{
  "formula": "InFe2Ge",
  "functional": "PBE",
  "state": "optimized geometry",
  "lattice": [[-0.900, -4.062, -0.914], [0.396, -2.997, 3.001], [-3.472, -1.835, 1.649]],
  "species": ["Fe", "Fe", "In", "Ge"],
  "frac_coords": [[0.750, 0.750, 0.750], [0.250, 0.250, 0.250], [0.500, 0.500, 0.500], [0.000, 0.000, 0.000]],
  "e_form_ev_per_atom": 0.304,
  "de_polymorph_kj_per_mol_fu": 0,
  "total_energy_ev_per_cell": -23.1
}

---

(17)
{
  "formula": "RbZrIr3",
  "functional": "PBE",
  "state": "optimized geometry",
  "lattice": [[5.041, 0.000, 0.000], [0.000, 5.041, 0.000], [0.000, 0.000, 5.041]],
  "species": ["Zr", "Ir", "Ir", "Ir", "Rb"],
  "frac_coords": [[0.000, 0.000, 0.000], [0.000, 0.500, 0.000], [0.500, 0.000, 0.000], [0.000, 0.000, 0.500], [0.500, 0.500, 0.500]],
  "e_form_ev_per_atom": 1.284,
  "de_polymorph_kj_per_mol_fu": 0,
  "total_energy_ev_per_cell": -29.7
}

---

(18)
{
  "formula": "Na3Tl4Pd4",
  "functional": "PBE",
  "state": "optimized geometry",
  "lattice": [[4.154, 0.000, 0.000], [0.000, 8.253, 0.000], [-2.077, -4.126, 7.514]],
  "species": ["Na", "Na", "Na", "Tl", "Tl", "Tl", "Tl", "Pd", "Pd", "Pd", "Pd"],
  "frac_coords": [[0.113, 0.113, 0.226], [0.000, 0.500, 0.000], [0.887, 0.887, 0.774], [0.664, 0.864, 0.327], [0.664, 0.463, 0.327], [0.336, 0.537, 0.673], [0.336, 0.136, 0.673], [0.768, 0.268, 0.535], [0.500, 0.835, 0.000], [0.232, 0.732, 0.465], [0.500, 0.165, 0.000]],
  "e_form_ev_per_atom": -0.145,
  "de_polymorph_kj_per_mol_fu": 25,
  "total_energy_ev_per_cell": -35.8
}